Material: ZrPbSe3
Method: DFT, PBE
State: relaxed

Computed properties:
raw formation energy	-688	meV per atom
final energy	-5.23	eV per atom
space-group type	No. 221

Lattice parameters (Å, degrees): 5.242 5.242 5.242 90.00 90.00 90.00
Fractional coordinates of all 5 atoms:
1 Pb 0.500 0.500 0.500
2 Se 0.000 0.500 0.000
3 Se 0.500 0.000 0.000
4 Se 0.000 0.000 0.500
5 Zr 0.000 0.000 0.000

=====

Material: ZrPbSe2
Method: DFT, PBE
State: relaxed

Computed properties:
raw formation energy	-771	meV per atom
final energy	-5.58	eV per atom
space-group type	No. 11

Lattice parameters (Å, degrees): 23.718 4.745 9.104 90.00 156.72 90.00
Fractional coordinates of all 16 atoms:
1 Pb 0.081 0.250 0.846
2 Se 0.722 0.750 0.403
3 Se 0.473 0.750 0.264
4 Se 0.527 0.250 0.736
5 Pb 0.581 0.250 0.346
6 Se 0.222 0.750 0.903
7 Se 0.027 0.250 0.236
8 Pb 0.419 0.750 0.654
9 Se 0.973 0.750 0.764
10 Zr 0.675 0.750 0.989
11 Se 0.778 0.250 0.097
12 Se 0.278 0.250 0.597
13 Zr 0.825 0.250 0.511
14 Zr 0.325 0.250 0.011
15 Pb 0.919 0.750 0.154
16 Zr 0.175 0.750 0.489

=====

Material: ZrPbSe2
Method: DFT, PBE
State: relaxed

Computed properties:
raw formation energy	-714	meV per atom
final energy	-5.52	eV per atom
space-group type	No. 33

Lattice parameters (Å, degrees): 6.877 8.416 6.837 90.00 90.00 90.00
Fractional coordinates of all 16 atoms:
1 Zr 0.338 0.381 0.402
2 Pb 0.907 0.536 0.486
3 Se 0.130 0.199 0.673
4 Se 0.370 0.699 0.173
5 Se 0.870 0.801 0.173
6 Zr 0.162 0.881 0.902
7 Pb 0.407 0.964 0.486
8 Pb 0.093 0.464 0.986
9 Se 0.831 0.873 0.688
10 Pb 0.593 0.036 0.986
11 Zr 0.662 0.619 0.902
12 Se 0.669 0.373 0.188
13 Zr 0.838 0.119 0.402
14 Se 0.630 0.301 0.673
15 Se 0.331 0.627 0.688
16 Se 0.169 0.127 0.188

=====

Material: ZrPbSe2
Method: DFT, PBE
State: relaxed

Computed properties:
raw formation energy	-575	meV per atom
final energy	-5.38	eV per atom
space-group type	No. 156

Lattice parameters (Å, degrees): 3.839 3.839 9.107 90.00 90.00 120.00
Each line ends with the local moment (μB).
Fractional coordinates of all 4 atoms:
1 Se 0.667 0.333 0.299  0.00
2 Zr 0.333 0.667 0.461  0.46
3 Se 0.333 0.667 0.743  -0.01
4 Pb 0.000 0.000 0.953  0.02

=====

Material: ZrPbSe2
Method: DFT, PBE
State: relaxed

Computed properties:
raw formation energy	-571	meV per atom
final energy	-5.38	eV per atom
space-group type	No. 63

Lattice parameters (Å, degrees): 11.197 11.197 5.220 90.00 90.00 160.63
Fractional coordinates of all 8 atoms:
1 Se 0.066 0.934 0.750
2 Zr 0.944 0.056 0.750
3 Se 0.180 0.820 0.250
4 Zr 0.056 0.944 0.250
5 Pb 0.318 0.682 0.250
6 Pb 0.682 0.318 0.750
7 Se 0.934 0.066 0.250
8 Se 0.820 0.180 0.750

=====

Material: ZrPbSe2
Method: DFT, PBE
State: relaxed

Computed properties:
raw formation energy	-931	meV per atom
final energy	-5.74	eV per atom
space-group type	No. 12

Lattice parameters (Å, degrees): 10.857 3.704 3.704 119.99 121.19 58.81
Fractional coordinates of all 4 atoms:
1 Se 0.693 0.971 0.029
2 Zr 0.500 0.500 0.500
3 Pb 0.000 0.000 0.000
4 Se 0.307 0.029 0.971

=====

> Among the records above, which one has the highest final energy?

ZrPbSe3

=====

> Which value of raw formation energy does entry 6 give?

-931 meV per atom

=====

> Among the records above, which one has the highest final energy?

ZrPbSe3